Material: BaTeBr4
Method: DFT, meta-GGA SCAN
State: PBEsol geometry

Cell and atoms, written as CIF:
```
data_BaTeBr4
_chemical_formula_sum 'Ba1 Te1 Br4'
_cell_length_a 6.270
_cell_length_b 6.270
_cell_length_c 6.270
_cell_angle_alpha 60.00
_cell_angle_beta 60.00
_cell_angle_gamma 60.00
_symmetry_space_group_name_H-M 'P 1'
_symmetry_Int_Tables_number 1
loop_
_symmetry_equiv_pos_as_xyz
'x,y,z'
loop_
_atom_site_label
_atom_site_fract_x
_atom_site_fract_y
_atom_site_fract_z
Ba1 0.000 0.000 0.000
Br1 0.873 0.376 0.376
Br2 0.376 0.376 0.376
Br3 0.376 0.873 0.376
Br4 0.376 0.376 0.873
Te1 0.750 0.750 0.750
```

Properties
raw total energy = -1.9292 Ry per atom
volume = 174.3 Å³/f.u.
size of the total moment = 0.152 μB/cell
ΔE_f (raw) = -0.475 eV/atom
ρ = 5.57 g cm⁻³